VASP calculation (PBE-GGA) on an optimized crystal structure of Er4ThSc8.

The structure in CIF format:
```
data_Er4ThSc8
_chemical_formula_sum 'Er4 Th1 Sc8'
_symmetry_space_group_name_H-M 'P 1'
_symmetry_Int_Tables_number 1
_symmetry_space_group_name_Hall 'P 1'
_cell_length_a 7.347
_cell_length_b 7.347
_cell_length_c 7.347
_cell_angle_alpha 90.12
_cell_angle_beta 90.12
_cell_angle_gamma 90.12
loop_
_atom_site_label
_atom_site_type_symbol
_atom_site_fract_x
_atom_site_fract_y
_atom_site_fract_z
_atom_site_occupancy
Er1 Er 0.500 0.000 0.500 1
Er2 Er 0.000 0.500 0.500 1
Er3 Er 0.500 0.500 0.000 1
Er4 Er 0.000 0.000 0.000 1
Th1 Th 0.500 0.500 0.500 1
Sc1 Sc 0.239 0.759 0.239 1
Sc2 Sc 0.761 0.761 0.241 1
Sc3 Sc 0.761 0.241 0.761 1
Sc4 Sc 0.241 0.761 0.761 1
Sc5 Sc 0.760 0.760 0.760 1
Sc6 Sc 0.240 0.240 0.240 1
Sc7 Sc 0.759 0.239 0.239 1
Sc8 Sc 0.239 0.239 0.759 1
```

Summary:
The formation energy from the elements comes out at 584 meV per atom. The space-group type is R-3m (166). The value obtained for the total energy is -0.19429 Ha/atom. Its total moment is 2.778 Bohr magnetons per cell.